First-principles (meta-GGA SCAN) data for a crystal of MgH8N2F4 relaxed with PBEsol, as listed in Alexandria.

Properties
Symmetry: P2_1/c

Cell lengths 5.7456, 5.6701, 13.8160 Å; angles 93.11, 90.00, 90.00 degrees
Last column: nearest neighbours and their distance in Å.
Element x y z (fractional)
Mg 0.5000 0.0000 0.5000  6 F 2.00-2.03
N 0.4950 0.9797 0.8407  4 H 1.04-1.05
H 0.3169 0.5110 0.3536  1 N 1.05
H 0.4699 0.9862 0.2314  1 N 1.04
H 0.4053 0.4185 0.6094  1 N 1.05
H 0.9794 0.3005 0.8516  1 N 1.05
F 0.7295 0.2279 0.9874  1 H 1.72
N 0.0052 0.4797 0.8407  4 H 1.04-1.05
H 0.8169 0.4890 0.1464  1 N 1.05
N 0.9950 0.0203 0.6593  4 H 1.04-1.05
H 0.9699 0.0138 0.2686  1 N 1.04
H 0.5208 0.8005 0.8516  1 N 1.05
Mg 0.0000 0.0000 0.0000  6 F 2.00-2.03
H 0.5301 0.0138 0.7686  1 N 1.04
F 0.2705 0.7721 0.0126  1 H 1.72
H 0.4052 0.9185 0.1094  1 N 1.05
H 0.9700 0.5138 0.7686  1 N 1.04
H 0.0301 0.9862 0.7314  1 N 1.04
F 0.4695 0.0007 0.3560  3 H 1.65-1.73
N 0.5052 0.5203 0.6593  4 H 1.04-1.05
H 0.0206 0.6995 0.1484  1 N 1.05
H 0.5947 0.5815 0.3906  1 N 1.05
H 0.5206 0.3005 0.3516  1 N 1.05
H 0.1830 0.0110 0.3536  1 N 1.05
F 0.2295 0.7721 0.5126  1 H 1.72
F 0.9696 0.4994 0.6440  3 H 1.65-1.73
F 0.0304 0.5006 0.3560  3 H 1.65-1.73
H 0.6831 0.4890 0.6464  1 N 1.05
H 0.0947 0.4185 0.1094  1 N 1.05
F 0.5304 0.4994 0.1440  3 H 1.65-1.73
F 0.7706 0.7279 0.9874  1 H 1.72
H 0.0300 0.4862 0.2314  1 N 1.04
H 0.5948 0.0815 0.8906  1 N 1.05
H 0.4794 0.6995 0.6484  1 N 1.05
F 0.9695 0.9993 0.1440  3 H 1.65-1.73
H 0.9792 0.8005 0.3516  1 N 1.05
H 0.0208 0.1995 0.6484  1 N 1.05
H 0.4700 0.4862 0.7314  1 N 1.04
H 0.5300 0.5138 0.2686  1 N 1.04
N 0.9948 0.5203 0.1593  4 H 1.04-1.05
H 0.1831 0.5110 0.8536  1 N 1.05
F 0.2294 0.2721 0.0126  1 H 1.72
F 0.0305 0.0007 0.8560  3 H 1.65-1.73
F 0.4696 0.5006 0.8560  3 H 1.65-1.73
N 0.4948 0.4797 0.3407  4 H 1.04-1.05
N 0.0050 0.9797 0.3407  4 H 1.04-1.05
Mg 0.0000 0.5000 0.5000  6 F 2.00-2.03
H 0.0948 0.9185 0.6094  1 N 1.05
N 0.5050 0.0203 0.1593  4 H 1.04-1.05
F 0.5305 0.9993 0.6440  3 H 1.65-1.73
Mg 0.5000 0.5000 0.0000  6 F 2.00-2.03
H 0.9052 0.0815 0.3906  1 N 1.05
F 0.2706 0.2721 0.5126  1 H 1.72
H 0.4792 0.1995 0.1484  1 N 1.05
H 0.6830 0.9890 0.1464  1 N 1.05
F 0.7705 0.2279 0.4874  1 H 1.72
H 0.3170 0.0110 0.8536  1 N 1.05
H 0.9053 0.5815 0.8906  1 N 1.05
H 0.8170 0.9890 0.6464  1 N 1.05
F 0.7294 0.7279 0.4874  1 H 1.72

---

First-principles (meta-GGA SCAN) data for a crystal of ErZnO3 relaxed with PBEsol, as listed in Alexandria.

Properties
Uncorrected formation energy, eV/atom: -2.13
Symmetry: Pm-3m

Cell lengths 3.7722, 3.7722, 3.7722 Å; angles 90.00, 90.00, 90.00 degrees
Last column: nearest neighbours and their distance in Å.
Element x y z (fractional)
O 0.5000 0.0000 0.5000  2 Zn 1.89
O 0.0000 0.5000 0.5000  2 Zn 1.89
O 0.5000 0.5000 0.0000  2 Zn 1.89
Er 0.0000 0.0000 0.0000  12 O 2.67
Zn 0.5000 0.5000 0.5000  6 O 1.89

---

First-principles (meta-GGA SCAN) data for a crystal of AgTe2SN relaxed with PBEsol, as listed in Alexandria.

Properties
Uncorrected formation energy, eV/atom: 1.26
Symmetry: P4/mmm

Cell lengths 3.8068, 5.4227, 5.4227 Å; angles 90.00, 90.00, 90.00 degrees
Last column: nearest neighbours and their distance in Å.
Element x y z (fractional)
Te 0.0000 0.0000 0.5000  2 Ag 2.71
Ag 0.0000 0.0000 0.0000  2 N 1.90
S 0.5000 0.5000 0.5000  8 Te 3.31
Te 0.0000 0.5000 0.0000  2 Ag 2.71
N 0.5000 0.0000 0.0000  2 Ag 1.90

---

Number 1: E_tot -352.54 eV per cell. Number 2: E_tot -93.18 eV per cell. Number 3: E_tot -118.48 eV per cell.